A geometry-optimized BaTiTl2O6 structure, computed with GGA-PBE.

Cell and atoms, written as CIF:
```
data_BaTiTl2O6
_space_group_name_H-M_alt 'C 1 2/c 1'
_space_group_IT_number 15
_cell_length_a 12.079
_cell_length_b 10.061
_cell_length_c 7.101
_cell_angle_alpha 90.00
_cell_angle_beta 119.20
_cell_angle_gamma 90.00
loop_
_space_group_symop_operation_xyz
'x,y,z'
'-x,-y,-z'
'-x,y,-z+1/2'
'x,-y,z+1/2'
'x+1/2,y+1/2,z'
'-x+1/2,-y+1/2,-z'
'-x+1/2,y+1/2,-z+1/2'
'x+1/2,-y+1/2,z+1/2'
loop_
_atom_site_label
_atom_site_type_symbol
_atom_site_fract_x
_atom_site_fract_y
_atom_site_fract_z
Ba1 Ba 0.000 0.172 0.250
Ti1 Ti 0.000 0.189 0.750
Tl1 Tl 0.193 0.460 0.179
O1 O 0.087 0.284 0.996
O2 O 0.100 0.079 0.691
O3 O 0.174 0.396 0.448
```

Results
Raw formation energy ... -1.79 eV per atom
Density ... 6.1 g cm⁻³
Calculated volume ... 18.83 A^3/atom

A geometry-optimized Sm2DyGaC structure, computed with GGA-PBE.

Cell and atoms, written as CIF:
```
data_Sm2DyGaC
_space_group_name_H-M_alt 'P 4/m m m'
_space_group_IT_number 123
_space_group_name_Hall '-P 4 2'
_cell_length_a 4.997
_cell_length_b 4.997
_cell_length_c 4.864
_cell_angle_alpha 90.00
_cell_angle_beta 90.00
_cell_angle_gamma 90.00
loop_
_atom_site_label
_atom_site_type_symbol
_atom_site_fract_x
_atom_site_fract_y
_atom_site_fract_z
Sm1 Sm 0.000 0.500 0.000
Dy1 Dy 0.000 0.000 0.500
Ga1 Ga 0.500 0.500 0.500
C1 C 0.000 0.000 0.000
```

Results
Density ... 7.5 g cm⁻³
Calculated volume ... 24.29 A^3/atom
Calculated formation energy ... -356 meV/atom

A geometry-optimized Ga3BF structure, computed with GGA-PBE.

Cell and atoms, written as CIF:
```
data_Ga3BF
_space_group_name_H-M_alt 'P m -3 m'
_space_group_IT_number 221
_space_group_name_Hall '-P 4 2 3'
_cell_length_a 4.389
_cell_length_b 4.389
_cell_length_c 4.389
_cell_angle_alpha 90.00
_cell_angle_beta 90.00
_cell_angle_gamma 90.00
loop_
_atom_site_label
_atom_site_type_symbol
_atom_site_fract_x
_atom_site_fract_y
_atom_site_fract_z
Ga1 Ga 0.000 0.000 0.500
B1 B 0.000 0.000 0.000
F1 F 0.500 0.500 0.500
```

Results
Raw formation energy ... -0.03 eV per atom
Energy above the most stable polymorph in this dataset ... 0.0 kJ/mol of formula units
Density ... 4.7 g cm⁻³
Calculated volume ... 16.91 A^3/atom

A geometry-optimized Ac2SmSb3 structure, computed with GGA-PBE.

Cell and atoms, written as CIF:
```
data_Ac2SmSb3
_space_group_name_H-M_alt 'C 1 2/m 1'
_space_group_IT_number 12
_cell_length_a 8.132
_cell_length_b 14.085
_cell_length_c 8.130
_cell_angle_alpha 90.00
_cell_angle_beta 109.50
_cell_angle_gamma 90.00
loop_
_space_group_symop_operation_xyz
'x,y,z'
'-x,-y,-z'
'-x,y,-z'
'x,-y,z'
'x+1/2,y+1/2,z'
'-x+1/2,-y+1/2,-z'
'-x+1/2,y+1/2,-z'
'x+1/2,-y+1/2,z'
loop_
_atom_site_label
_atom_site_type_symbol
_atom_site_fract_x
_atom_site_fract_y
_atom_site_fract_z
Ac1 Ac 0.000 0.000 0.000
Ac2 Ac 0.000 0.164 0.500
Ac3 Ac 0.000 0.500 0.500
Sm1 Sm 0.000 0.332 0.000
Sb1 Sb 0.235 0.500 0.236
Sb2 Sb 0.249 0.329 0.761
```

Results
Raw formation energy ... -1.18 eV per atom
Density ... 7.3 g cm⁻³
Calculated volume ... 36.58 A^3/atom